Here is a relaxed structure of Ac12Zn3Ni5 from Alexandria via LeMat-Bulk. Energies are from GGA-PBE.

The formation energy from the elements comes out at 0.464 eV per formula unit. The value obtained for the density of states at the Fermi level is 1.120 states/eV/atom. The crystal system is cubic. The value obtained for the calculated density is 7.4 Mg/m³. The uncorrected energy is -4.078 eV/atom. Its total magnetization is 0.0 μB/f.u.

Unit cell a=15.504 b=15.504 c=15.504 alpha=109.47 beta=109.47 gamma=109.47
Fractional coordinates of all 80 atoms:
1 Ni 0.125 0.375 0.250
2 Ni 0.000 0.500 0.000
3 Ni 0.000 0.000 0.000
4 Ni 0.375 0.250 0.125
5 Ni 0.500 0.000 0.500
6 Ni 0.500 0.500 0.000
7 Ni 0.125 0.750 0.375
8 Ni 0.750 0.125 0.875
9 Ni 0.750 0.625 0.375
10 Ni 0.375 0.125 0.750
11 Ni 0.625 0.875 0.250
12 Ni 0.500 0.500 0.500
13 Ni 0.500 0.000 0.000
14 Ni 0.000 0.000 0.500
15 Ni 0.250 0.375 0.625
16 Ni 0.250 0.875 0.125
17 Ni 0.000 0.500 0.500
18 Ni 0.875 0.250 0.625
19 Ni 0.625 0.750 0.875
20 Ni 0.875 0.625 0.750
21 Ac 0.710 0.124 0.033
22 Ac 0.323 0.533 0.409
23 Ac 0.967 0.376 0.290
24 Ac 0.533 0.210 0.124
25 Ac 0.586 0.710 0.677
26 Ac 0.967 0.591 0.177
27 Ac 0.323 0.790 0.414
28 Ac 0.091 0.914 0.124
29 Ac 0.591 0.967 0.677
30 Ac 0.710 0.586 0.177
31 Ac 0.790 0.467 0.376
32 Ac 0.823 0.909 0.033
33 Ac 0.124 0.710 0.533
34 Ac 0.376 0.409 0.086
35 Ac 0.086 0.909 0.376
36 Ac 0.414 0.124 0.591
37 Ac 0.086 0.177 0.210
38 Ac 0.467 0.677 0.091
39 Ac 0.823 0.914 0.290
40 Ac 0.124 0.414 0.091
41 Ac 0.376 0.967 0.790
42 Ac 0.591 0.624 0.414
43 Ac 0.909 0.823 0.533
44 Ac 0.790 0.323 0.914
45 Ac 0.409 0.376 0.586
46 Ac 0.091 0.177 0.467
47 Ac 0.210 0.677 0.086
48 Ac 0.177 0.086 0.710
49 Ac 0.624 0.033 0.210
50 Ac 0.876 0.586 0.909
51 Ac 0.533 0.323 0.909
52 Ac 0.586 0.876 0.409
53 Ac 0.914 0.823 0.790
54 Ac 0.914 0.091 0.624
55 Ac 0.876 0.290 0.467
56 Ac 0.177 0.091 0.967
57 Ac 0.624 0.591 0.914
58 Ac 0.409 0.033 0.323
59 Ac 0.290 0.414 0.823
60 Ac 0.210 0.533 0.624
61 Ac 0.909 0.086 0.876
62 Ac 0.677 0.210 0.586
63 Ac 0.467 0.790 0.876
64 Ac 0.033 0.409 0.823
65 Ac 0.414 0.290 0.323
66 Ac 0.033 0.624 0.710
67 Ac 0.677 0.467 0.591
68 Ac 0.290 0.876 0.967
69 Zn 0.750 0.375 0.125
70 Zn 0.875 0.750 0.125
71 Zn 0.375 0.750 0.625
72 Zn 0.250 0.125 0.375
73 Zn 0.875 0.125 0.250
74 Zn 0.375 0.625 0.250
75 Zn 0.625 0.375 0.750
76 Zn 0.125 0.875 0.750
77 Zn 0.750 0.875 0.625
78 Zn 0.625 0.250 0.375
79 Zn 0.125 0.250 0.875
80 Zn 0.250 0.625 0.875